Entry 1:
A geometry-optimized As2PPt structure. Source: Alexandria, functional PBE.

As for the space-group type: P4mm, No. 99.

Geometry as POSCAR:
```
As2PPt
1.0
-0.686 -0.564 -2.704
-2.596 -0.822 0.830
-2.925 8.250 -0.978
As P Pt
2 1 1
Direct
0.000 0.000 0.966
0.500 0.500 0.266
0.000 0.000 0.546
0.500 0.500 0.723
```

=====

Entry 2:
A geometry-optimized Tm3Ga3Ge structure. Source: Alexandria, functional PBE.

As for the space-group type: C2/m, No. 12.

Geometry as POSCAR:
```
Tm3Ga3Ge
1.0
-4.132 0.701 -0.485
-2.711 0.229 5.080
-0.047 13.494 1.544
Tm Ga Ge
6 6 2
Direct
0.505 0.363 0.627
0.495 0.637 0.373
0.272 0.230 0.226
0.728 0.770 0.774
0.387 0.300 0.927
0.613 0.700 0.073
0.864 0.731 0.541
0.136 0.269 0.459
0.106 0.865 0.924
0.894 0.135 0.076
0.999 0.781 0.221
0.001 0.219 0.779
0.784 0.058 0.374
0.216 0.942 0.626
```

=====

Entry 3:
A geometry-optimized Pr2Sn4Pd5 structure. Source: Alexandria, functional PBE.

As for the space-group type: Fmmm, No. 69.

Geometry as POSCAR:
```
Pr2Sn4Pd5
1.0
5.916 0.000 0.000
2.958 5.160 0.000
2.958 0.000 8.178
Pr Sn Pd
2 4 5
Direct
0.854 0.000 0.292
0.146 0.000 0.708
0.474 0.310 0.743
0.526 0.690 0.257
0.217 0.310 0.257
0.783 0.690 0.743
0.500 0.000 0.000
0.000 0.500 0.000
0.500 0.500 0.000
0.250 0.500 0.500
0.750 0.500 0.500
```

=====

For the records above, the corresponding density of states at the Fermi level values read 1.37 4.59 6.66 states/eV/f.u..
For the records above, the corresponding energy of formation values read 241.6 -619.8 -624.2 meV/atom.